! Pr4Ge2SCl PBE relaxed; values from VASP
! Formation energy from raw total energies, eV per atom: -1.364
! Crystal system: monoclinic
! Total DFT energy (no corrections), eV per atom: -5.65
! Spin magnetization, μB/atom: 0.000
&SYSTEM
  ibrav = 0, nat = 8, ntyp = 4
/
ATOMIC_SPECIES
Pr 140.91 Pr.upf
Ge 72.64 Ge.upf
S 32.06 S.upf
Cl 35.45 Cl.upf
CELL_PARAMETERS angstrom
7.3113 0.0000 0.0000
0.0000 4.2861 0.0000
-2.5048 0.0000 6.9925
ATOMIC_POSITIONS crystal
Pr 0.2383 0.0000 0.2386
Pr 0.2445 0.5000 0.7551
Pr 0.7555 0.5000 0.2449
Pr 0.7617 0.0000 0.7614
Ge 0.0000 0.0000 0.5000
Ge 0.0000 0.5000 0.0000
S 0.5000 0.0000 0.0000
Cl 0.5000 0.5000 0.5000